First-principles (PBE) data for a geometry-optimized Na4Cd2Sn structure, as listed in Alexandria via LeMat-Bulk.

Crystal system: monoclinic
Relative energy among the computed polymorphs: 0 meV/atom

Unit cell a=8.549 b=6.233 c=9.001 alpha=90.00 beta=123.58 gamma=90.00
Fractional coordinates of all 14 atoms:
Sn (0.231, 0.750, 0.375)
Na (0.049, 0.750, 0.953)
Na (0.486, 0.000, 0.791)
Na (0.982, 0.250, 0.416)
Na (0.018, 0.750, 0.584)
Na (0.514, 0.500, 0.209)
Cd (0.814, 0.750, 0.147)
Cd (0.653, 0.750, 0.587)
Na (0.486, 0.500, 0.791)
Sn (0.769, 0.250, 0.625)
Na (0.514, 0.000, 0.209)
Cd (0.347, 0.250, 0.413)
Cd (0.186, 0.250, 0.853)
Na (0.951, 0.250, 0.047)


First-principles (PBE) data for a geometry-optimized NaCd2Sn structure, as listed in Alexandria via LeMat-Bulk.

Crystal system: tetragonal

Unit cell a=4.519 b=4.519 c=11.061 alpha=78.21 beta=78.21 gamma=90.00
Fractional coordinates of all 8 atoms:
Na (0.500, 0.500, 0.000)
Sn (0.750, 0.250, 0.500)
Sn (0.000, 0.000, 0.000)
Cd (0.124, 0.625, 0.250)
Cd (0.375, 0.374, 0.750)
Cd (0.626, 0.125, 0.250)
Na (0.250, 0.750, 0.500)
Cd (0.875, 0.876, 0.750)


First-principles (PBE) data for a geometry-optimized Na3Cd3Sn2 structure, as listed in Alexandria via LeMat-Bulk.

Crystal system: orthorhombic

Unit cell a=6.094 b=8.633 c=17.479 alpha=90.00 beta=90.00 gamma=90.00
Fractional coordinates of all 32 atoms:
Sn (0.886, 0.112, 0.385)
Cd (0.846, 0.812, 0.750)
Na (0.114, 0.466, 0.388)
Na (0.614, 0.034, 0.888)
Cd (0.606, 0.316, 0.471)
Cd (0.894, 0.816, 0.471)
Na (0.635, 0.331, 0.250)
Sn (0.386, 0.388, 0.885)
Na (0.865, 0.831, 0.250)
Cd (0.894, 0.816, 0.029)
Na (0.386, 0.966, 0.112)
Cd (0.106, 0.184, 0.529)
Cd (0.106, 0.184, 0.971)
Sn (0.614, 0.612, 0.385)
Sn (0.886, 0.112, 0.115)
Na (0.614, 0.034, 0.612)
Cd (0.346, 0.688, 0.250)
Na (0.886, 0.534, 0.612)
Na (0.114, 0.466, 0.112)
Cd (0.154, 0.188, 0.250)
Cd (0.394, 0.684, 0.971)
Sn (0.614, 0.612, 0.115)
Na (0.386, 0.966, 0.388)
Na (0.365, 0.669, 0.750)
Cd (0.394, 0.684, 0.529)
Sn (0.114, 0.888, 0.615)
Sn (0.114, 0.888, 0.885)
Cd (0.654, 0.312, 0.750)
Na (0.135, 0.169, 0.750)
Sn (0.386, 0.388, 0.615)
Na (0.886, 0.534, 0.888)
Cd (0.606, 0.316, 0.029)


First-principles (PBE) data for a geometry-optimized Na5Cd2Sn2 structure, as listed in Alexandria via LeMat-Bulk.

Crystal system: orthorhombic

Unit cell a=6.402 b=9.391 c=9.899 alpha=118.32 beta=90.00 gamma=90.00
Fractional coordinates of all 18 atoms:
Na (0.250, 0.597, 0.695)
Na (0.750, 0.598, 0.695)
Cd (0.500, 0.847, 0.000)
Na (0.500, 0.500, 0.000)
Cd (0.000, 0.653, 0.000)
Na (0.250, 0.097, 0.695)
Sn (0.500, 0.249, 0.497)
Na (0.750, 0.098, 0.695)
Na (0.250, 0.902, 0.305)
Cd (0.000, 0.347, 0.000)
Sn (0.500, 0.751, 0.503)
Cd (0.500, 0.153, 0.000)
Na (0.750, 0.403, 0.305)
Na (0.250, 0.402, 0.305)
Sn (0.000, 0.749, 0.497)
Na (0.000, 0.000, 0.000)
Sn (0.000, 0.251, 0.503)
Na (0.750, 0.903, 0.305)


| no. | Fermi-level density of states (states/eV per atom) | calculated total energy (eV/atom) | energy of formation (eV/atom) |
| --- | --- | --- | --- |
| 1 | 0.442 | -1.65 | -0.0659 |
| 2 | 0.535 | -1.72 | 0.0684 |
| 3 | 0.508 | -1.94 | -0.0977 |
| 4 | 0.568 | -1.86 | -0.0304 |